{
  "formula": "Li2Ti3VO8",
  "functional": "PBE+U",
  "state": "relaxed",
  "crystal_system": "cubic",
  "e_above_lowest_polymorph_mev_per_atom": 0,
  "spacegroup": "P4_332, No. 212",
  "e_tot_ev_per_cell": -450.0,
  "lattice": [[8.4808, 0.0000, 0.0000], [0.0000, 8.4808, 0.0000], [0.0000, 0.0000, 8.4808]],
  "species": ["Li", "Li", "Li", "Li", "Li", "Li", "Li", "Li", "Ti", "Ti", "Ti", "Ti", "Ti", "Ti", "Ti", "Ti", "Ti", "Ti", "Ti", "Ti", "V", "V", "V", "V", "O", "O", "O", "O", "O", "O", "O", "O", "O", "O", "O", "O", "O", "O", "O", "O", "O", "O", "O", "O", "O", "O", "O", "O", "O", "O", "O", "O", "O", "O", "O", "O"],
  "frac_coords": [[0.0023, 0.4977, 0.5023], [0.2477, 0.7477, 0.7523], [0.2523, 0.2523, 0.2523], [0.4977, 0.5023, 0.0023], [0.5023, 0.0023, 0.4977], [0.7477, 0.7523, 0.2477], [0.7523, 0.2477, 0.7477], [0.9977, 0.9977, 0.9977], [0.1224, 0.6250, 0.1276], [0.1250, 0.3724, 0.8776], [0.1276, 0.1224, 0.6250], [0.3724, 0.8776, 0.1250], [0.3750, 0.6276, 0.3776], [0.3776, 0.3750, 0.6276], [0.6224, 0.8750, 0.8724], [0.6250, 0.1276, 0.1224], [0.6276, 0.3776, 0.3750], [0.8724, 0.6224, 0.8750], [0.8750, 0.8724, 0.6224], [0.8776, 0.1250, 0.3724], [0.1250, 0.8750, 0.3750], [0.3750, 0.1250, 0.8750], [0.6250, 0.6250, 0.6250], [0.8750, 0.3750, 0.1250], [0.1066, 0.1245, 0.3905], [0.1095, 0.8934, 0.6245], [0.1113, 0.6113, 0.8887], [0.1245, 0.3905, 0.1066], [0.1255, 0.1434, 0.8595], [0.1387, 0.3613, 0.6387], [0.1405, 0.6255, 0.3566], [0.1434, 0.8595, 0.1255], [0.3566, 0.1405, 0.6255], [0.3595, 0.3745, 0.8566], [0.3613, 0.6387, 0.1387], [0.3745, 0.8566, 0.3595], [0.3755, 0.6095, 0.6066], [0.3887, 0.3887, 0.3887], [0.3905, 0.1066, 0.1245], [0.3934, 0.8755, 0.8905], [0.6066, 0.3755, 0.6095], [0.6095, 0.6066, 0.3755], [0.6113, 0.8887, 0.1113], [0.6245, 0.1095, 0.8934], [0.6255, 0.3566, 0.1405], [0.6387, 0.1387, 0.3613], [0.6405, 0.8745, 0.6434], [0.6434, 0.6405, 0.8745], [0.8566, 0.3595, 0.3745], [0.8595, 0.1255, 0.1434], [0.8613, 0.8613, 0.8613], [0.8745, 0.6434, 0.6405], [0.8755, 0.8905, 0.3934], [0.8887, 0.1113, 0.6113], [0.8905, 0.3934, 0.8755], [0.8934, 0.6245, 0.1095]]
}